Compound: Nd2FeCo2
Source: the Alexandria database
Functional: PBE-GGA
Structure: relaxed

Cell lengths 5.477, 5.477, 7.488 Å; angles 100.75, 100.75, 60.82 degrees
Fractional coordinates of all 10 atoms:
1 Nd 0.031 0.271 0.152
2 Nd 0.271 0.031 0.652
3 Nd 0.729 0.969 0.348
4 Nd 0.969 0.729 0.848
5 Fe 0.391 0.609 0.250
6 Fe 0.609 0.391 0.750
7 Co 0.250 0.501 0.498
8 Co 0.499 0.750 0.002
9 Co 0.501 0.250 0.998
10 Co 0.750 0.499 0.502

Results
Volume (Å³/cell): 191
Space group: C2/c
DOS(E_F) (states/eV per cell): 12.4
E_form (eV per atom): -0.01



Compound: Pr12Dy2Ho
Source: the Alexandria database
Functional: PBE-GGA
Structure: relaxed

Cell lengths 6.897, 6.897, 25.198 Å; angles 90.00, 90.00, 116.53 degrees
Fractional coordinates of all 30 atoms:
1 Pr 0.002 0.502 0.130
2 Pr 0.002 0.998 0.927
3 Pr 0.020 0.520 0.585
4 Pr 0.025 0.975 0.440
5 Pr 0.250 0.250 0.198
6 Pr 0.250 0.250 0.324
7 Pr 0.250 0.250 0.676
8 Pr 0.250 0.250 0.802
9 Pr 0.475 0.525 0.440
10 Pr 0.480 0.980 0.585
11 Pr 0.498 0.502 0.927
12 Pr 0.498 0.998 0.130
13 Pr 0.502 0.002 0.870
14 Pr 0.502 0.498 0.073
15 Pr 0.520 0.020 0.415
16 Pr 0.525 0.475 0.560
17 Pr 0.750 0.750 0.198
18 Pr 0.750 0.750 0.324
19 Pr 0.750 0.750 0.676
20 Pr 0.750 0.750 0.802
21 Pr 0.975 0.025 0.560
22 Pr 0.980 0.480 0.415
23 Pr 0.998 0.002 0.073
24 Pr 0.998 0.498 0.870
25 Dy 0.250 0.750 0.271
26 Dy 0.250 0.750 0.733
27 Dy 0.750 0.250 0.267
28 Dy 0.750 0.250 0.729
29 Ho 0.250 0.750 0.001
30 Ho 0.750 0.250 0.999

Results
Volume (Å³/cell): 1073
Space group: Cmme
DOS(E_F) (states/eV per cell): 43.3
E_form (eV per atom): 0.15



Compound: Mg3Tl4Pb2
Source: the Alexandria database
Functional: PBE-GGA
Structure: relaxed

Cell lengths 11.264, 11.264, 5.223 Å; angles 102.13, 102.13, 52.28 degrees
Fractional coordinates of all 18 atoms:
1 Mg 0.113 0.887 0.750
2 Mg 0.180 0.426 0.036
3 Mg 0.426 0.180 0.536
4 Mg 0.574 0.820 0.464
5 Mg 0.820 0.574 0.964
6 Mg 0.887 0.113 0.250
7 Tl 0.068 0.758 0.165
8 Tl 0.242 0.932 0.335
9 Tl 0.305 0.523 0.649
10 Tl 0.477 0.695 0.851
11 Tl 0.523 0.305 0.149
12 Tl 0.695 0.477 0.351
13 Tl 0.758 0.068 0.665
14 Tl 0.932 0.242 0.835
15 Pb 0.078 0.318 0.432
16 Pb 0.318 0.078 0.932
17 Pb 0.682 0.922 0.068
18 Pb 0.922 0.682 0.568

Results
Offset from the most stable computed form (meV per atom): 25
Volume (Å³/cell): 510
Space group: C2/c
DOS(E_F) (states/eV per cell): 7.8
E_form (eV per atom): 0.02



Compound: TmSb2Se4
Source: the Alexandria database
Functional: PBE-GGA
Structure: relaxed

Cell lengths 6.989, 6.989, 13.435 Å; angles 90.00, 90.00, 144.55 degrees
Fractional coordinates of all 14 atoms:
1 Tm 0.124 0.876 0.750
2 Tm 0.876 0.124 0.250
3 Sb 0.375 0.625 0.562
4 Sb 0.375 0.625 0.938
5 Sb 0.625 0.375 0.062
6 Sb 0.625 0.375 0.438
7 Se 0.000 0.000 0.000
8 Se 0.000 0.000 0.500
9 Se 0.278 0.722 0.124
10 Se 0.278 0.722 0.376
11 Se 0.483 0.517 0.750
12 Se 0.517 0.483 0.250
13 Se 0.722 0.278 0.624
14 Se 0.722 0.278 0.876

Results
Volume (Å³/cell): 381
Raw formation energy (eV/atom): -0.64
Space group: Cmcm
DOS(E_F) (states/eV per cell): 5.1



Compound: Sc2NbPbSe
Source: the Alexandria database
Functional: PBE-GGA
Structure: relaxed

Cell lengths 5.121, 5.121, 5.391 Å; angles 90.00, 90.00, 90.00 degrees
Fractional coordinates of all 5 atoms:
1 Sc 0.000 0.500 0.000
2 Sc 0.500 0.000 0.000
3 Nb 0.000 0.000 0.000
4 Pb 0.000 0.000 0.500
5 Se 0.500 0.500 0.500

Results
Volume (Å³/cell): 141
Raw formation energy (eV/atom): 0.42
Space group: P4/mmm
DOS(E_F) (states/eV per cell): 3.0



Compound: CsRbPtS2
Source: the Alexandria database
Functional: PBE-GGA
Structure: relaxed

Cell lengths 7.071, 8.193, 6.057 Å; angles 90.00, 90.00, 90.00 degrees
Fractional coordinates of all 10 atoms:
1 Cs 0.250 0.000 0.224
2 Cs 0.750 0.000 0.776
3 Rb 0.250 0.500 0.041
4 Rb 0.750 0.500 0.959
5 Pt 0.000 0.500 0.500
6 Pt 0.500 0.500 0.500
7 S 0.250 0.310 0.573
8 S 0.250 0.690 0.573
9 S 0.750 0.310 0.427
10 S 0.750 0.690 0.427

Results
Volume (Å³/cell): 351
Raw formation energy (eV/atom): -0.78
Space group: Pmma



How do the records compare in density? In the order shown, they have 8.02; 6.75; 8.50; 6.36; 5.51; 4.52 g/cm³.